The following is a PBE-GGA calculation of an optimized crystal structure of Sr3TlH, from the Alexandria database.

```
Sr3TlH
1.0
4.030 0.000 0.000
0.000 8.671 0.534
0.000 -1.376 9.717
Sr Tl H
6 2 2
Cartesian
3.023 0.064 2.870
1.008 7.231 7.381
3.023 5.133 4.179
1.008 2.163 6.073
3.023 1.197 9.493
1.008 6.099 0.758
3.023 4.488 7.686
1.008 2.808 2.566
3.023 0.462 7.005
1.008 6.834 3.247
```

Summary:
* density of states at the Fermi level: 3.60 states/eV/f.u.
* space-group type: No. 11
* raw total energy: -24.06 eV per cell

---

The following is a PBE-GGA calculation of an optimized crystal structure of SrTl2H2, from the Alexandria database.

```
SrTl2H2
1.0
6.756 0.000 0.000
0.000 6.756 0.000
0.000 0.000 5.046
Tl Sr H
4 2 4
Cartesian
5.587 2.210 2.523
1.168 4.546 2.523
4.546 5.587 2.523
2.210 1.168 2.523
0.000 0.000 0.000
3.378 3.378 0.000
2.001 1.377 0.000
5.379 2.001 0.000
1.377 4.755 0.000
4.755 5.379 0.000
```

Summary:
* density of states at the Fermi level: 1.34 states/eV/f.u.
* space-group type: No. 127
* raw total energy: -27.18 eV per cell